Record 1
# ZrAgRu2

A relaxed structure of ZrAgRu2 (PBE, the Alexandria database).

* polymorph energy (0 for the lowest one): 546.9 meV per atom
* electronic total energy: -6.955 eV/atom
* DOS at the Fermi energy: 1.021 states/eV/atom
* SG: No. 122

```
ZrAgRu2
1.0
-3.2867 2.0807 -0.9541
-0.8830 -2.6926 -2.8306
-6.9796 -5.2021 4.2919
Ru Zr Ag
4 2 2
Direct
0.5670 0.1250 0.2500
0.1830 0.6250 0.2500
0.3750 0.4330 0.7500
0.8750 0.8170 0.7500
0.5000 0.5000 0.0000
0.2500 0.7500 0.5000
0.0000 0.0000 0.0000
0.7500 0.2500 0.5000
```

Record 2
# PuZr9Sc3

A relaxed structure of PuZr9Sc3 (PBE, the Alexandria database).

* electronic total energy: -8.448 eV/atom
* DOS at the Fermi energy: 1.518 states/eV/atom
* SG: No. 8

```
PuZr9Sc3
1.0
-2.6624 0.4493 1.6427
-0.7853 -12.6776 5.2354
5.9475 12.0850 9.3744
Pu Zr Sc
2 18 6
Direct
0.7911 0.4818 0.9361
0.7910 0.9818 0.4361
0.2156 0.1688 0.4004
0.2152 0.6688 0.9004
0.8743 0.2832 0.9688
0.8736 0.7832 0.4688
0.1773 0.0162 0.6299
0.1766 0.5162 0.1299
0.6027 0.7072 0.0859
0.6043 0.2072 0.5859
0.9174 0.9274 0.2368
0.9184 0.4274 0.7368
0.7511 0.8321 0.6662
0.7506 0.3321 0.1662
0.5580 0.5602 0.3231
0.5587 0.0602 0.8231
0.5225 0.4039 0.5515
0.5222 0.9039 0.0515
0.4316 0.1125 0.0243
0.4316 0.6125 0.5243
0.8302 0.6337 0.7059
0.8303 0.1337 0.2059
0.1288 0.8780 0.8643
0.1289 0.3780 0.3643
0.4814 0.2528 0.7846
0.4812 0.7528 0.2846
```

Record 3
# Bi3Te5S12

A relaxed structure of Bi3Te5S12 (PBE, the Alexandria database).

* formation energy (no corrections): 18.0 kJ per mole of atoms
* electronic total energy: -3.657 eV/atom
* DOS at the Fermi energy: 0.575 states/eV/atom
* SG: No. 230

```
Bi3Te5S12
1.0
-7.8272 -6.0309 10.2789
12.9987 2.9717 5.0493
-6.2907 12.0456 -4.3153
Bi Te S
12 20 48
Direct
0.7500 0.3750 0.1250
0.8750 0.7500 0.1250
0.3750 0.7500 0.6250
0.2500 0.1250 0.3750
0.8750 0.1250 0.2500
0.3750 0.6250 0.2500
0.6250 0.3750 0.7500
0.1250 0.8750 0.7500
0.7500 0.8750 0.6250
0.6250 0.2500 0.3750
0.1250 0.2500 0.8750
0.2500 0.6250 0.8750
0.1250 0.3750 0.2500
0.0000 0.5000 0.0000
0.0000 0.0000 0.0000
0.3750 0.2500 0.1250
0.5000 0.0000 0.5000
0.5000 0.5000 0.0000
0.1250 0.7500 0.3750
0.7500 0.1250 0.8750
0.7500 0.6250 0.3750
0.3750 0.1250 0.7500
0.6250 0.8750 0.2500
0.5000 0.5000 0.5000
0.5000 0.0000 0.0000
0.0000 0.0000 0.5000
0.2500 0.3750 0.6250
0.2500 0.8750 0.1250
0.0000 0.5000 0.5000
0.8750 0.2500 0.6250
0.6250 0.7500 0.8750
0.8750 0.6250 0.7500
0.7184 0.1390 0.0502
0.3318 0.5502 0.4112
0.9498 0.3610 0.2816
0.5502 0.2184 0.1390
0.5793 0.7184 0.6682
0.9498 0.5888 0.1682
0.3318 0.7816 0.4207
0.0888 0.9207 0.1390
0.5888 0.9498 0.6682
0.7184 0.5793 0.1682
0.7816 0.4498 0.3610
0.8318 0.9112 0.0502
0.1390 0.7184 0.5502
0.3610 0.4112 0.0793
0.0793 0.9112 0.3610
0.4207 0.1390 0.5888
0.0793 0.1682 0.2184
0.4498 0.6682 0.0888
0.8318 0.9207 0.2816
0.1390 0.4207 0.0888
0.3610 0.9498 0.7816
0.5888 0.6390 0.4207
0.9112 0.8318 0.5502
0.7816 0.3318 0.9207
0.4112 0.3610 0.5793
0.0888 0.1682 0.4498
0.2184 0.6682 0.0793
0.1682 0.0793 0.7184
0.6390 0.0502 0.2184
0.8610 0.5793 0.9112
0.5502 0.3318 0.9112
0.5793 0.8610 0.4112
0.9207 0.8318 0.7816
0.9207 0.0888 0.6390
0.8610 0.2816 0.4498
0.1682 0.0888 0.9498
0.6390 0.5888 0.9207
0.4112 0.0502 0.3318
0.2816 0.4207 0.8318
0.2184 0.5502 0.6390
0.9112 0.0793 0.8610
0.6682 0.2184 0.5793
0.4498 0.7816 0.8610
0.0502 0.4112 0.8318
0.4207 0.2816 0.3318
0.0502 0.6390 0.7184
0.6682 0.4498 0.5888
0.2816 0.8610 0.9498
```